VASP calculation (PBE) on crystalline LiTlAgIr at its relaxed geometry.

abc: 6.512 6.512 6.512
angles: 90.00 90.00 90.00
Space group F-43m (No. 216)
One atom of each set of equivalent atoms:
Li (0.000, 0.000, 0.000) x4
Tl (0.250, 0.250, 0.750) x4
Ag (0.250, 0.250, 0.250) x4
Ir (0.000, 0.000, 0.500) x4

Formation energy ... 0.057 eV/atom
Raw total energy ... -15.76 eV per formula unit